# 1
# FeSi2Rh2 | Alexandria | PBE | relaxed
# DFT total energy (eV per cell): -72.2
# D(E_F) (states/eV/atom): 0.3850
# Crystal system: tetragonal
data_FeSi2Rh2
_symmetry_space_group_name_H-M 'P 4/m b m'
_symmetry_Int_Tables_number 127
_symmetry_space_group_name_Hall '-P 4 2ab'
_cell_length_a 7.029
_cell_length_b 7.029
_cell_length_c 2.747
_cell_angle_alpha 90.00
_cell_angle_beta 90.00
_cell_angle_gamma 90.00
loop_
_atom_site_label
_atom_site_fract_x
_atom_site_fract_y
_atom_site_fract_z
Fe1 0.000 0.000 0.000
Si1 0.156 0.344 0.500
Rh1 0.142 0.642 0.000

# 2
# Pm8Dy3Tl | Alexandria | PBE | relaxed
# ΔH_f (0 K) (kJ per mole of atoms): 45
# D(E_F) (states/eV/atom): 1.4201
# Crystal system: tetragonal
data_Pm8Dy3Tl
_symmetry_space_group_name_H-M 'I -4 2 m'
_symmetry_Int_Tables_number 121
_symmetry_space_group_name_Hall 'I -4 2'
_cell_length_a 8.698
_cell_length_b 8.698
_cell_length_c 11.543
_cell_angle_alpha 90.00
_cell_angle_beta 90.00
_cell_angle_gamma 90.00
loop_
_atom_site_label
_atom_site_fract_x
_atom_site_fract_y
_atom_site_fract_z
Pm1 0.128 0.128 0.245
Pm2 0.244 0.244 0.979
Dy1 0.000 0.000 0.000
Dy2 0.000 0.500 0.250
Tl1 0.000 0.000 0.500